No. 1
## TlAsCl4 (PBE)

Data for a geometry-optimized TlAsCl4 structure.

a b c (Å): 9.366 15.128 7.034
angles (deg): 90.00 127.09 90.00
Space group C2/c (No. 15)
Inequivalent atoms, fractional coordinates:
1 Tl 0.000 0.098 0.250 [4 per cell]
2 As 0.000 0.421 0.750 [4 per cell]
3 Cl 0.151 0.319 0.703 [8 per cell]
4 Cl 0.238 0.443 0.195 [8 per cell]

Results
volume = 199 Å³/f.u.
ΔE to the lowest computed polymorph = 0.8 kJ per mole of atoms
E_tot = -3.1991 eV/atom



No. 2
## TlAsCl3 (PBE)

Data for a geometry-optimized TlAsCl3 structure.

a b c (Å): 5.204 5.204 5.204
angles (deg): 90.00 90.00 90.00
Space group Pm-3m (No. 221)
Inequivalent atoms, fractional coordinates:
1 Tl 0.000 0.000 0.000 [1 per cell]
2 As 0.500 0.500 0.500 [1 per cell]
3 Cl 0.000 0.500 0.500 [3 per cell]

Results
volume = 141 Å³/f.u.
ΔE to the lowest computed polymorph = 15.4 kJ per mole of atoms
E_tot = -3.0928 eV/atom



No. 3
## TlAsCl2 (PBE)

Data for a geometry-optimized TlAsCl2 structure.

a b c (Å): 3.553 4.525 6.135
angles (deg): 90.00 90.00 90.00
Space group Pmmm (No. 47)
Inequivalent atoms, fractional coordinates:
1 Tl 0.000 0.000 0.000 [1 per cell]
2 As 0.500 0.000 0.500 [1 per cell]
3 Cl 0.000 0.500 0.500 [1 per cell]
4 Cl 0.500 0.500 0.000 [1 per cell]

Results
volume = 99 Å³/f.u.
ΔE to the lowest computed polymorph = 28.6 kJ per mole of atoms
E_tot = -2.7740 eV/atom



No. 4
## TlAsCl4 (PBE)

Data for a geometry-optimized TlAsCl4 structure.

a b c (Å): 8.668 8.668 8.668
angles (deg): 90.00 90.00 90.00
Space group F-43m (No. 216)
Inequivalent atoms, fractional coordinates:
1 Tl 0.000 0.000 0.000 [4 per cell]
2 As 0.250 0.250 0.750 [4 per cell]
3 Cl 0.125 0.125 0.375 [16 per cell]

Results
volume = 163 Å³/f.u.
ΔE to the lowest computed polymorph = 122.0 kJ per mole of atoms
E_tot = -1.9423 eV/atom



No. 5
## TlAsCl2 (PBE)

Data for a geometry-optimized TlAsCl2 structure.

a b c (Å): 5.319 3.362 5.874
angles (deg): 90.00 98.43 90.00
Space group P2/m (No. 10)
Inequivalent atoms, fractional coordinates:
1 Tl 0.000 0.000 0.000 [1 per cell]
2 As 0.500 0.500 0.500 [1 per cell]
3 Cl 0.000 0.000 0.500 [1 per cell]
4 Cl 0.500 0.500 0.000 [1 per cell]

Results
volume = 104 Å³/f.u.
ΔE to the lowest computed polymorph = 26.2 kJ per mole of atoms
E_tot = -2.7982 eV/atom



No. 6
## TlAsCl2 (PBE)

Data for a geometry-optimized TlAsCl2 structure.

a b c (Å): 8.193 8.193 3.283
angles (deg): 90.00 90.33 90.00
Space group C2/m (No. 12)
Inequivalent atoms, fractional coordinates:
1 Tl 0.000 0.000 0.000 [2 per cell]
2 As 0.000 0.500 0.000 [2 per cell]
3 Cl 0.250 0.250 0.000 [4 per cell]

Results
volume = 110 Å³/f.u.
ΔE to the lowest computed polymorph = 23.1 kJ per mole of atoms
E_tot = -2.8303 eV/atom